# 1
The following is a PBE calculation of a relaxed structure of Pr3Ho4Tl2, from Alexandria via LeMat-Bulk.

Structure (CIF):
```
data_Pr3Ho4Tl2
_cell_length_a 6.489
_cell_length_b 9.522
_cell_length_c 9.522
_cell_angle_alpha 83.41
_cell_angle_beta 82.51
_cell_angle_gamma 82.51
_symmetry_space_group_name_H-M 'P 1'
_symmetry_Int_Tables_number 1
loop_
_symmetry_equiv_pos_as_xyz
'x,y,z'
loop_
_atom_site_label
_atom_site_fract_x
_atom_site_fract_y
_atom_site_fract_z
_atom_site_occupancy
Ho1 0.927 0.312 0.861 1
Ho2 0.427 0.861 0.312 1
Pr1 0.080 0.959 0.829 1
Ho3 0.073 0.688 0.139 1
Pr2 0.580 0.829 0.959 1
Ho4 0.588 0.485 0.154 1
Tl1 0.934 0.629 0.801 1
Ho5 0.912 0.846 0.515 1
Tl2 0.566 0.199 0.371 1
Tl3 0.066 0.371 0.199 1
Ho6 0.088 0.154 0.485 1
Pr3 0.920 0.041 0.171 1
Ho7 0.573 0.139 0.688 1
Pr4 0.250 0.469 0.531 1
Tl4 0.434 0.801 0.629 1
Pr5 0.750 0.531 0.469 1
Ho8 0.412 0.515 0.846 1
Pr6 0.420 0.171 0.041 1
```

ΔE_f: -0.062 eV/atom
theoretical density: 8.6 g/cm3
crystal system: monoclinic
VASP energy: -75.872 eV/cell


# 2
The following is a PBE calculation of a relaxed structure of Pr6Ho3Tl, from Alexandria via LeMat-Bulk.

Structure (CIF):
```
data_Pr6Ho3Tl
_cell_length_a 6.522
_cell_length_b 11.474
_cell_length_c 11.474
_cell_angle_alpha 128.65
_cell_angle_beta 90.00
_cell_angle_gamma 90.00
_symmetry_space_group_name_H-M 'P 1'
_symmetry_Int_Tables_number 1
loop_
_symmetry_equiv_pos_as_xyz
'x,y,z'
loop_
_atom_site_label
_atom_site_fract_x
_atom_site_fract_y
_atom_site_fract_z
_atom_site_occupancy
Pr1 0.306 0.980 0.020 1
Pr2 0.557 0.626 0.736 1
Pr3 0.781 0.285 0.715 1
Ho1 0.478 0.297 0.044 1
Ho2 0.478 0.956 0.703 1
Ho3 0.083 0.411 0.589 1
Tl1 0.565 0.846 0.154 1
Ho4 0.978 0.703 0.956 1
Pr4 0.840 0.529 0.096 1
Pr5 0.806 0.020 0.980 1
Ho5 0.978 0.044 0.297 1
Pr6 0.557 0.264 0.374 1
Pr7 0.840 0.904 0.471 1
Pr8 0.281 0.715 0.285 1
Pr9 0.340 0.471 0.904 1
Pr10 0.057 0.736 0.626 1
Pr11 0.057 0.374 0.264 1
Tl2 0.065 0.154 0.846 1
Pr12 0.340 0.096 0.529 1
Ho6 0.583 0.589 0.411 1
```

ΔE_f: 0.024 eV/atom
theoretical density: 7.6 g/cm3
crystal system: orthorhombic
VASP energy: -89.080 eV/cell


# 3
The following is a PBE calculation of a relaxed structure of Pr5HoTl3, from Alexandria via LeMat-Bulk.

Structure (CIF):
```
data_Pr5HoTl3
_cell_length_a 6.959
_cell_length_b 9.673
_cell_length_c 9.672
_cell_angle_alpha 120.00
_cell_angle_beta 90.00
_cell_angle_gamma 90.00
_symmetry_space_group_name_H-M 'P 1'
_symmetry_Int_Tables_number 1
loop_
_symmetry_equiv_pos_as_xyz
'x,y,z'
loop_
_atom_site_label
_atom_site_fract_x
_atom_site_fract_y
_atom_site_fract_z
_atom_site_occupancy
Ho1 0.000 0.000 0.000 1
Ho2 0.500 0.000 0.000 1
Tl1 0.250 0.323 0.000 1
Pr1 0.250 0.000 0.660 1
Pr2 0.750 0.000 0.340 1
Pr3 0.750 0.339 0.000 1
Pr4 0.250 0.661 0.000 1
Pr5 0.000 0.333 0.667 1
Tl2 0.750 0.677 0.000 1
Pr6 0.500 0.333 0.667 1
Tl3 0.750 0.323 0.323 1
Tl4 0.250 0.000 0.323 1
Tl5 0.750 0.000 0.677 1
Pr7 0.000 0.667 0.333 1
Pr8 0.250 0.339 0.340 1
Pr9 0.750 0.661 0.660 1
Pr10 0.500 0.667 0.333 1
Tl6 0.250 0.677 0.677 1
```

ΔE_f: -0.263 eV/atom
theoretical density: 8.7 g/cm3
crystal system: hexagonal
VASP energy: -75.886 eV/cell


# 4
The following is a PBE calculation of a relaxed structure of PrHo2Tl4, from Alexandria via LeMat-Bulk.

Structure (CIF):
```
data_PrHo2Tl4
_cell_length_a 5.265
_cell_length_b 5.265
_cell_length_c 7.689
_cell_angle_alpha 90.00
_cell_angle_beta 90.00
_cell_angle_gamma 90.00
_symmetry_space_group_name_H-M 'P 1'
_symmetry_Int_Tables_number 1
loop_
_symmetry_equiv_pos_as_xyz
'x,y,z'
loop_
_atom_site_label
_atom_site_fract_x
_atom_site_fract_y
_atom_site_fract_z
_atom_site_occupancy
Tl1 0.500 0.000 0.726 1
Tl2 0.000 0.500 0.726 1
Tl3 0.500 0.000 0.274 1
Pr1 0.500 0.500 0.000 1
Ho1 0.000 0.000 0.000 1
Ho2 0.500 0.500 0.500 1
Tl4 0.000 0.500 0.274 1
```

ΔE_f: -0.208 eV/atom
theoretical density: 10.0 g/cm3
crystal system: tetragonal
VASP energy: -24.859 eV/cell
excess energy over the best structure of this formula in the dataset: 0.00 kcal/mol of atoms